Entry 1:
The following is a PBE calculation of crystalline NaRe2AuO at its relaxed geometry, from the Alexandria database.

It has space group P4/mmm (No. 123), with a = 4.8973 Å, b = 4.8973 Å, c = 4.6947 Å, α = 90.00°, β = 90.00° and γ = 90.00°. The distinct sites, in fractional coordinates, are Na at (0.0000, 0.0000, 0.0000), Re at (0.0000, 0.5000, 0.0000), Au at (0.0000, 0.0000, 0.5000) and O at (0.5000, 0.5000, 0.5000).

The value obtained for the formation energy from raw total energies is 3220 meV/atom. The calculation puts the density of states at the Fermi level at 6.2 states/eV per cell. As for the total energy: -18.351 eV for the cell shown.

***

Entry 2:
The following is a PBE calculation of crystalline NaRhAuO4 at its relaxed geometry, from the Alexandria database.

It has space group Imma (No. 74), with a = 6.1499 Å, b = 6.2107 Å, c = 10.2858 Å, α = 90.00°, β = 90.00° and γ = 90.00°. The distinct sites, in fractional coordinates, are Na at (0.0000, 0.2500, 0.1009), Rh at (0.2500, 0.2500, 0.7500), Au at (0.0000, 0.0000, 0.5000), O at (0.0000, 0.0483, 0.7742) and O at (0.2107, 0.2500, 0.5511).

The value obtained for the formation energy from raw total energies is -684 meV/atom. The calculation puts the density of states at the Fermi level at 11.4 states/eV per cell. As for the total energy: -146.274 eV for the cell shown.

***

Entry 3:
The following is a PBE calculation of crystalline Na3Rh3AuO8 at its relaxed geometry, from the Alexandria database.

It has space group C2/m (No. 12), with a = 11.2735 Å, b = 6.2158 Å, c = 6.4175 Å, α = 90.00°, β = 124.27° and γ = 90.00°. The distinct sites, in fractional coordinates, are Na at (0.0000, 0.0000, 0.0000), Na at (0.2500, 0.2500, 0.5000), Rh at (0.0000, 0.5000, 0.5000), Rh at (0.2500, 0.2500, 0.0000), Au at (0.0000, 0.0000, 0.5000), O at (0.0284, 0.2436, 0.7389), O at (0.2220, 0.5000, 0.1689) and O at (0.2280, 0.5000, 0.7580).

The value obtained for the formation energy from raw total energies is -879 meV/atom. The calculation puts the density of states at the Fermi level at 6.6 states/eV per cell. As for the total energy: -164.271 eV for the cell shown.

***

| no. | total magnetization (μB per cell) |
| --- | --- |
| 1 | 6.89 |
| 2 | 2.16 |
| 3 | 1.13 |